Record 1
Mg2WBr: optimized geometry, PBE-GGA.

Unit cell a=7.6418 b=7.6418 c=5.9544 alpha=90.00 beta=90.00 gamma=90.00
Atoms (fractional coordinates):
1 Mg 0.2348 0.2500 0.1250
2 Mg 0.2500 0.7348 0.3750
3 Mg 0.2500 0.7652 0.8750
4 Mg 0.2652 0.2500 0.6250
5 Mg 0.7348 0.7500 0.6250
6 Mg 0.7500 0.2348 0.8750
7 Mg 0.7500 0.2652 0.3750
8 Mg 0.7652 0.7500 0.1250
9 W 0.0000 0.0000 0.5000
10 W 0.0000 0.5000 0.7500
11 W 0.5000 0.0000 0.2500
12 W 0.5000 0.5000 0.0000
13 Br 0.0000 0.0000 0.0000
14 Br 0.0000 0.5000 0.2500
15 Br 0.5000 0.0000 0.7500
16 Br 0.5000 0.5000 0.5000

* magnetic moment: 2.5 μB/f.u.
* energy above the lowest structure with this stoichiometry: 794 meV/atom
* uncorrected formation energy: 916 meV/atom
* space group: I-42d, No. 122


Record 2
Mg2WBr: optimized geometry, PBE-GGA.

Unit cell a=6.0855 b=8.5572 c=2.9773 alpha=90.00 beta=90.00 gamma=90.00
Atoms (fractional coordinates):
1 Mg 0.2500 0.2500 0.0000
2 Mg 0.2500 0.7500 0.0000
3 Mg 0.7500 0.2500 0.0000
4 Mg 0.7500 0.7500 0.0000
5 W 0.0000 0.0000 0.5000
6 W 0.5000 0.5000 0.5000
7 Br 0.0000 0.5000 0.5000
8 Br 0.5000 0.0000 0.5000

* magnetic moment: 0.0 μB/f.u.
* energy above the lowest structure with this stoichiometry: 339 meV/atom
* uncorrected formation energy: 461 meV/atom
* space group: Cmmm, No. 65